(1)
A plane-wave DFT calculation with PBE was carried out for a relaxed structure of Sb3BrO.

Summary:
electronic total energy	-3.595	eV/atom
raw formation energy	99	kJ/mol of formula units
relative energy among the computed polymorphs	0	meV/atom
SG	Pm-3m, No. 221

The structure in extended XYZ format:
```
5
Lattice="4.910 0.000 0.000 0.000 4.910 0.000 0.000 0.000 4.910" Properties=species:S:1:pos:R:3 pbc="T T T"
O 0.000 0.000 0.000
Sb 2.455 0.000 0.000
Sb 0.000 0.000 2.455
Sb 0.000 2.455 0.000
Br 2.455 2.455 2.455
```

=====

(2)
A plane-wave DFT calculation with PBE was carried out for a relaxed structure of SbBrO3.

Summary:
electronic total energy	-4.432	eV/atom
raw formation energy	-144	kJ/mol of formula units
SG	Pm-3m, No. 221

The structure in extended XYZ format:
```
5
Lattice="4.021 0.000 0.000 0.000 4.021 0.000 0.000 0.000 4.021" Properties=species:S:1:pos:R:3 pbc="T T T"
O 2.010 0.000 0.000
O 0.000 2.010 0.000
Sb 0.000 0.000 0.000
Br 2.010 2.010 2.010
O 0.000 0.000 2.010
```

=====

(3)
A plane-wave DFT calculation with PBE was carried out for a relaxed structure of Sb2BrO.

Summary:
electronic total energy	-3.293	eV/atom
raw formation energy	164	kJ/mol of formula units
relative energy among the computed polymorphs	651	meV/atom
SG	Fm-3m, No. 225

The structure in extended XYZ format:
```
4
Lattice="0.000 3.471 3.471 3.471 0.000 3.471 3.471 3.471 0.000" Properties=species:S:1:pos:R:3 pbc="T T T"
O 0.000 0.000 0.000
Sb 1.736 1.736 1.736
Br 3.471 3.471 3.471
Sb 5.207 5.207 5.207
```

=====

(4)
A plane-wave DFT calculation with PBE was carried out for a relaxed structure of SbBr3O.

Summary:
electronic total energy	-2.330	eV/atom
raw formation energy	237	kJ/mol of formula units
relative energy among the computed polymorphs	226	meV/atom
SG	Pm-3m, No. 221

The structure in extended XYZ format:
```
5
Lattice="4.819 0.000 0.000 0.000 4.819 0.000 0.000 0.000 4.819" Properties=species:S:1:pos:R:3 pbc="T T T"
Br 0.000 0.000 2.410
Br 2.410 0.000 0.000
Sb 2.410 2.410 2.410
Br 0.000 2.410 0.000
O 0.000 0.000 0.000
```

=====

(5)
A plane-wave DFT calculation with PBE was carried out for a relaxed structure of SbBr2O2.

Summary:
electronic total energy	-2.593	eV/atom
raw formation energy	427	kJ/mol of formula units
relative energy among the computed polymorphs	128	meV/atom
SG	I4/mmm, No. 139

The structure in extended XYZ format:
```
5
Lattice="3.602 0.000 0.000 0.000 3.602 0.000 1.801 1.801 7.648" Properties=species:S:1:pos:R:3 pbc="T T T"
O 3.602 1.801 3.824
Br 3.602 3.602 5.884
Br 1.801 1.801 1.764
O 1.801 3.602 3.824
Sb 0.000 0.000 0.000
```

=====

(6)
A plane-wave DFT calculation with PBE was carried out for a relaxed structure of SbBrO2.

Summary:
electronic total energy	-4.552	eV/atom
raw formation energy	-241	kJ/mol of formula units
relative energy among the computed polymorphs	0	meV/atom
SG	Pmmn, No. 59

The structure in extended XYZ format:
```
8
Lattice="-2.146 2.477 -1.209 -4.094 -3.198 0.713 -1.027 3.166 8.306" Properties=species:S:1:pos:R:3 pbc="T T T"
O -2.252 0.741 0.468
O -4.207 -0.787 0.809
Br -0.514 1.583 4.153
O -1.895 2.064 7.590
Br -3.633 1.222 3.905
Sb -2.025 4.173 7.094
O -4.034 0.394 7.962
Sb -2.122 -1.368 0.964
```

=====

(7)
A plane-wave DFT calculation with PBE was carried out for a relaxed structure of SbBrO2.

Summary:
electronic total energy	-4.527	eV/atom
raw formation energy	-231	kJ/mol of formula units
relative energy among the computed polymorphs	26	meV/atom
SG	I4_1/amd, No. 141

The structure in extended XYZ format:
```
8
Lattice="6.358 0.000 0.000 0.000 6.358 0.000 3.179 3.179 4.489" Properties=species:S:1:pos:R:3 pbc="T T T"
Br 3.179 6.358 2.244
O 4.768 3.177 3.366
Br 3.179 3.179 0.000
O 6.360 1.589 1.122
Sb 6.358 3.179 2.244
Sb 0.000 0.000 0.000
O 7.947 3.181 3.366
O 6.356 4.768 1.122
```

=====

(8)
A plane-wave DFT calculation with PBE was carried out for a relaxed structure of Sb2BrO.

Summary:
electronic total energy	-3.944	eV/atom
raw formation energy	-87	kJ/mol of formula units
relative energy among the computed polymorphs	0	meV/atom
SG	I-42d, No. 122

The structure in extended XYZ format:
```
8
Lattice="-4.204 3.464 0.463 -3.444 -3.982 -1.472 -4.624 -2.173 6.546" Properties=species:S:1:pos:R:3 pbc="T T T"
O -5.946 -3.207 2.285
Sb -4.433 -2.106 0.840
Sb -6.827 -2.391 4.322
Br 0.000 0.000 0.000
Br -6.326 0.516 3.252
Sb -3.615 0.631 1.676
O -3.824 -0.259 -0.504
Sb -9.670 -1.516 4.236
```

=====

(9)
A plane-wave DFT calculation with PBE was carried out for a relaxed structure of ScSbBr2O.

Summary:
electronic total energy	-3.330	eV/atom
raw formation energy	203	kJ/mol of formula units
SG	P4/mmm, No. 123

The structure in extended XYZ format:
```
5
Lattice="-4.659 -1.804 -1.878 -0.661 -3.278 4.786 -2.533 4.032 2.411" Properties=species:S:1:pos:R:3 pbc="T T T"
Sc -0.330 -1.639 2.393
Sb 0.000 0.000 0.000
Br -2.329 -0.902 -0.939
Br -1.266 2.016 1.206
O -3.926 -0.525 2.660
```

=====

(10)
A plane-wave DFT calculation with PBE was carried out for a relaxed structure of SnSbBrO2.

Summary:
electronic total energy	-5.112	eV/atom
raw formation energy	-564	kJ/mol of formula units
SG	P2_1/m, No. 11

The structure in extended XYZ format:
```
10
Lattice="-0.185 -4.132 0.018 1.659 -0.108 -7.874 6.513 -0.278 3.215" Properties=species:S:1:pos:R:3 pbc="T T T"
O 6.178 -3.386 -1.053
Sb 3.851 -1.223 -3.700
Sb 4.136 -3.294 -0.942
Sn 7.237 -1.369 -2.273
O 3.723 -3.284 -2.972
Br 5.358 -1.268 1.655
Sn 0.750 -3.149 -2.369
O 1.809 -1.131 -3.589
Br 2.629 -3.250 -6.297
O 4.264 -1.233 -1.670
```

=====

(11)
A plane-wave DFT calculation with PBE was carried out for a relaxed structure of SbTe2BrO.

Summary:
electronic total energy	-3.176	eV/atom
raw formation energy	112	kJ/mol of formula units
relative energy among the computed polymorphs	0	meV/atom
SG	P4/mmm, No. 123

The structure in extended XYZ format:
```
5
Lattice="4.623 0.000 0.000 0.000 4.623 0.000 0.000 0.000 5.813" Properties=species:S:1:pos:R:3 pbc="T T T"
Te 0.000 2.311 0.000
Te 2.311 0.000 0.000
O 0.000 0.000 0.000
Sb 0.000 0.000 2.907
Br 2.311 2.311 2.907
```

=====

(12)
A plane-wave DFT calculation with PBE was carried out for a relaxed structure of Sb2TeBrO.

Summary:
electronic total energy	-2.153	eV/atom
raw formation energy	700	kJ/mol of formula units
relative energy among the computed polymorphs	1256	meV/atom
SG	P4/mmm, No. 123

The structure in extended XYZ format:
```
5
Lattice="-1.359 -4.687 2.643 5.364 -1.396 0.282 0.412 2.537 4.712" Properties=species:S:1:pos:R:3 pbc="T T T"
O 2.209 -1.773 3.818
Te 0.206 1.269 2.356
Sb 2.682 -0.698 0.141
Sb -0.679 -2.344 1.321
Br 0.000 0.000 0.000
```

=====

(13)
A plane-wave DFT calculation with PBE was carried out for a relaxed structure of Sb2TeBrO.

Summary:
electronic total energy	-3.408	eV/atom
raw formation energy	94	kJ/mol of formula units
relative energy among the computed polymorphs	0	meV/atom
SG	P4/mmm, No. 123

The structure in extended XYZ format:
```
5
Lattice="5.030 0.000 0.000 0.000 5.030 0.000 0.000 0.000 4.750" Properties=species:S:1:pos:R:3 pbc="T T T"
O 0.000 0.000 0.000
Te 0.000 0.000 2.375
Sb 0.000 2.515 0.000
Br 2.515 2.515 2.375
Sb 2.515 0.000 0.000
```

=====

(14)
A plane-wave DFT calculation with PBE was carried out for a relaxed structure of SbTe2BrO.

Summary:
electronic total energy	-1.949	eV/atom
raw formation energy	704	kJ/mol of formula units
relative energy among the computed polymorphs	1227	meV/atom
SG	P4/mmm, No. 123

The structure in extended XYZ format:
```
5
Lattice="-3.051 -1.694 -4.223 -4.078 -1.236 3.443 -2.070 5.194 -0.588" Properties=species:S:1:pos:R:3 pbc="T T T"
Te -1.525 -0.847 -2.111
Sb -1.035 2.597 -0.294
O -4.600 1.132 -0.684
Br 0.000 0.000 0.000
Te -2.039 -0.618 1.721
```

=====

(15)
A plane-wave DFT calculation with PBE was carried out for a relaxed structure of ThSbBrO4.

Summary:
electronic total energy	-6.871	eV/atom
raw formation energy	-1452	kJ/mol of formula units
SG	C2/m, No. 12

The structure in extended XYZ format:
```
14
Lattice="-1.843 -6.344 0.518 4.927 -3.892 2.120 -1.325 -0.929 7.020" Properties=species:S:1:pos:R:3 pbc="T T T"
O -0.561 -3.617 1.504
Th -0.407 -3.267 6.723
Th 2.166 -7.898 2.935
O 2.320 -7.549 8.153
O 1.552 -7.604 5.083
Br -0.296 -0.300 1.710
Sb 0.983 -7.172 6.824
O 1.992 -2.692 2.108
Br 2.055 -10.865 7.948
O -0.233 -8.473 7.549
O 0.207 -3.561 4.574
O 1.430 -5.756 2.767
Sb 0.776 -3.993 2.833
O 0.329 -5.410 6.891
```

=====

(16)
A plane-wave DFT calculation with PBE was carried out for a relaxed structure of TlSbBrO2.

Summary:
electronic total energy	-4.555	eV/atom
raw formation energy	-453	kJ/mol of formula units
SG	Cmcm, No. 63

The structure in extended XYZ format:
```
10
Lattice="-2.653 -4.469 -1.613 5.111 -2.771 -0.732 -2.804 -0.723 6.617" Properties=species:S:1:pos:R:3 pbc="T T T"
Br -0.798 -2.257 2.977
Tl 1.836 -2.982 0.653
O -0.208 -2.841 -0.967
Br 0.451 -5.705 1.295
O 2.666 -4.399 -1.378
Tl -2.182 -4.981 3.619
O 3.993 -2.164 -0.571
Sb -2.026 -3.658 -0.303
O 1.118 -0.606 -0.160
Sb 1.680 -4.305 4.575
```

=====

(17)
A plane-wave DFT calculation with PBE was carried out for a relaxed structure of Tl2SbBr2O2.

Summary:
electronic total energy	-3.968	eV/atom
raw formation energy	-546	kJ/mol of formula units
SG	I4/mmm, No. 139

The structure in extended XYZ format:
```
7
Lattice="-2.240 -3.711 -0.645 3.377 -2.311 1.567 -3.918 3.622 7.659" Properties=species:S:1:pos:R:3 pbc="T T T"
O 1.689 -1.155 0.783
Tl -2.574 0.469 6.241
Sb 0.000 0.000 0.000
O -1.120 -1.855 -0.322
Br -1.682 -2.600 5.918
Br -1.098 0.200 2.663
Tl -0.206 -2.869 2.340
```

=====

(18)
A plane-wave DFT calculation with PBE was carried out for a relaxed structure of ScBrO.

Summary:
electronic total energy	-7.096	eV/atom
raw formation energy	-803	kJ/mol of formula units
SG	Pmmn, No. 59

The structure in extended XYZ format:
```
6
Lattice="3.580 0.000 0.000 0.000 3.986 0.000 0.000 0.000 9.474" Properties=species:S:1:pos:R:3 pbc="T T T"
Br 1.790 0.000 7.656
O 1.790 0.000 4.459
Sc 0.000 0.000 5.664
Sc 1.790 1.993 3.810
O 0.000 1.993 5.015
Br 0.000 1.993 1.818
```

=====

(19)
A plane-wave DFT calculation with PBE was carried out for a relaxed structure of Sc2BrO.

Summary:
electronic total energy	-5.855	eV/atom
raw formation energy	-398	kJ/mol of formula units
relative energy among the computed polymorphs	654	meV/atom
SG	Fm-3m, No. 225

The structure in extended XYZ format:
```
4
Lattice="-0.782 -4.349 0.433 -3.725 -1.761 -1.654 0.187 -2.654 -3.555" Properties=species:S:1:pos:R:3 pbc="T T T"
Br -2.160 -4.382 -2.388
Sc -1.080 -2.191 -1.194
O 0.000 0.000 0.000
Sc -3.240 -6.573 -3.582
```

=====

(20)
A plane-wave DFT calculation with PBE was carried out for a relaxed structure of ScBr3O7.

Summary:
electronic total energy	-4.589	eV/atom
raw formation energy	-426	kJ/mol of formula units
relative energy among the computed polymorphs	60	meV/atom
SG	P2/c, No. 13

The structure in extended XYZ format:
```
22
Lattice="-7.256 0.243 5.874 -3.443 -1.253 -4.202 -2.165 -8.567 -2.321" Properties=species:S:1:pos:R:3 pbc="T T T"
O -7.205 -0.374 2.907
O -3.795 -7.840 -1.992
Br -3.776 -2.718 -1.456
Br -7.274 -4.640 2.099
O -6.697 -5.540 -1.701
O -8.404 -6.199 3.748
O -7.650 -3.391 3.166
Sc -6.887 -1.930 4.557
O -4.018 -4.801 -1.709
O -6.168 -4.038 1.053
O -5.215 -6.186 -3.814
O -8.847 -4.777 1.061
Br -5.591 -4.937 -2.748
O -6.194 -8.357 -0.963
Br -9.089 -6.860 0.808
O -1.017 -2.126 -0.195
O -6.671 -1.221 0.315
O -9.070 -1.737 1.344
Br -2.800 -0.470 0.515
Br -10.064 -9.108 -1.163
O -5.660 -9.203 -3.555
Sc -2.535 -6.395 -1.004
```